Entry 1:
Here is Cd2InPb after structural relaxation from the Alexandria database. Energies are from GGA-PBE.

Cell lengths 3.5378, 5.5586, 6.3483 Å; angles 115.96, 106.18, 90.00 degrees
Closest atoms and distances in Å follow each position.
Fractional coordinates of all 4 atoms:
Pb (0.2561, 0.7561, 0.5122)  6 Cd 3.30, 2 In 3.41, 2 Pb 3.54
In (0.4875, 0.4875, 0.9750)  6 Cd 3.19-3.31, 2 Pb 3.41, 2 In 3.54
Cd (0.0132, 0.0132, 0.0264)  2 Cd 3.06, 2 Pb 3.30, 4 In 3.31
Cd (0.7432, 0.2432, 0.4864)  2 Cd 3.06, 2 In 3.19, 4 Pb 3.30

Computed properties:
The total magnetic moment comes out at 0.0 μB per formula unit. The density of states at the Fermi level comes out at 2.08 states/eV/f.u. The energy of formation from the pure elements comes out at 0.06 eV/atom.

=====

Entry 2:
Here is NaHgMo2Rh after structural relaxation from the Alexandria database. Energies are from GGA-PBE.

Cell lengths 5.1365, 4.8763, 5.1365 Å; angles 90.00, 90.00, 90.00 degrees
Closest atoms and distances in Å follow each position.
Fractional coordinates of all 5 atoms:
Mo (0.5000, 0.0000, 0.0000)  2 Hg 2.57
Rh (0.5000, 0.5000, 0.5000)  8 Mo 3.54, 4 Na 3.63
Mo (0.0000, 0.0000, 0.5000)  2 Hg 2.57
Na (0.0000, 0.5000, 0.0000)  2 Hg 2.44
Hg (0.0000, 0.0000, 0.0000)  2 Na 2.44, 4 Mo 2.57

Computed properties:
The total magnetic moment comes out at 5.6 μB per formula unit. The density of states at the Fermi level comes out at 5.71 states/eV/f.u. The energy of formation from the pure elements comes out at 2.18 eV/atom.